No. 1
VASP calculation (GGA-PBE) on a relaxed structure of Al6CdS8.

abc: 6.715 6.715 6.715
angles: 90.77 90.77 90.77
Fractional positions:
S 0.251 0.251 0.251
S 0.599 0.865 0.287
S 0.135 0.713 0.401
S 0.287 0.599 0.865
S 0.865 0.287 0.599
S 0.713 0.401 0.135
S 0.401 0.135 0.713
S 0.749 0.749 0.749
Cd 0.000 0.000 0.000
Al 0.563 0.209 0.393
Al 0.437 0.791 0.607
Al 0.791 0.607 0.437
Al 0.209 0.393 0.563
Al 0.607 0.437 0.791
Al 0.393 0.563 0.209

Uncorrected energy: -4.44 eV per atom
Magnetization: 0.00 μB per cell
Energy relative to the elements, uncorrected: -0.681 eV per atom
Space group: No. 148

No. 2
VASP calculation (GGA-PBE) on a relaxed structure of Tb5DyHo2Er.

abc: 5.563 10.295 10.529
angles: 90.00 90.00 105.68
Fractional positions:
Ho 0.110 0.221 0.737
Ho 0.886 0.772 0.817
Ho 0.114 0.228 0.317
Ho 0.890 0.779 0.237
Tb 0.719 0.438 0.809
Tb 0.480 0.960 0.740
Tb 0.700 0.400 0.207
Tb 0.520 0.040 0.240
Tb 0.982 0.965 0.522
Tb 0.300 0.600 0.707
Tb 0.611 0.222 0.523
Tb 0.018 0.035 0.022
Tb 0.281 0.562 0.309
Tb 0.389 0.778 0.023
Dy 0.800 0.600 0.511
Dy 0.200 0.400 0.011
Er 0.412 0.824 0.458
Er 0.588 0.176 0.958

Uncorrected energy: -4.46 eV per atom
Magnetization: 0.00 μB per cell
Space group: No. 36

Q: The highest uncorrected energy belongs to which entry?
A: Al6CdS8

Q: Which of these has the highest uncorrected energy?
A: Al6CdS8